Entry from Alexandria: crystalline BaCu2SeI at its relaxed geometry (PBE).

- V (Å³/atom) = 41.66
- M_tot (μB per cell) = 1.31
- formation energy from raw total energies (eV/atom) = 0.8519
- crystal system = tetragonal

Lattice parameters (Å, degrees): 5.873 5.873 6.038 90.00 90.00 90.00
Sites, in units of the cell vectors:
Ba1 0.000 0.000 0.000
Cu1 0.000 0.500 0.000
Cu2 0.500 0.000 0.000
Se1 0.000 0.000 0.500
I1 0.500 0.500 0.500